Entry from OQMD via LeMat-Bulk: a relaxed structure of LiLaHgSe3 (PBE).

Properties
Total DFT energy (no corrections) = -4.0401 eV/atom

Cell: 6.9517 6.9517 11.5796 Å, 90.00 90.00 35.57°
Atoms (fractional coordinates):
Hg 0.4713 0.4713 0.2500
Hg 0.5287 0.5287 0.7500
La 0.0000 0.0000 0.0000
La 0.0000 0.0000 0.5000
Li 0.7647 0.7647 0.2500
Li 0.2353 0.2353 0.7500
Se 0.3502 0.3502 0.0695
Se 0.1017 0.1017 0.2500
Se 0.3502 0.3502 0.4305
Se 0.6498 0.6498 0.5695
Se 0.8983 0.8983 0.7500
Se 0.6498 0.6498 0.9305